Material: SiIr2Au
Method: DFT, PBE
State: optimized geometry

## Properties
energy relative to the elements, uncorrected = -0.2333 eV/atom
D(E_F) = 0.701 states/eV/atom
theoretical density = 16.74 g/cm3
energy = -6.84 eV per atom

```
SiIr2Au
1.0
-8.2615 0.0998 2.8814
-7.8028 -2.7129 2.8848
-7.0041 -1.1361 5.1204
Si Au Ir
1 1 2
direct
0.2500 0.2500 0.2500
0.7500 0.7500 0.7500
0.5141 0.5141 0.5141
0.9859 0.9859 0.9859
```